The following is a PBE calculation of an optimized crystal structure of NbCoSb2I, from the Alexandria database.

Calculated values
Energy above the most stable polymorph in this dataset: 0.432 eV per formula unit
Volume: 161 Å³/cell
Uncorrected formation energy: 0.99 eV/atom
D(E_F): 8.1 states/eV per cell
SG: P4/mmm, No. 123

```
NbCoSb2I
1.0
5.3715 0.0000 0.0000
0.0000 5.3715 0.0000
0.0000 0.0000 5.5744
Nb I Co Sb
1 1 1 2
Cartesian
0.0000 0.0000 0.0000
0.0000 0.0000 2.7872
2.6857 2.6857 2.7872
2.6857 0.0000 0.0000
0.0000 2.6857 0.0000
```

The following is a PBE calculation of an optimized crystal structure of NbCoSbI2, from the Alexandria database.

Calculated values
Energy above the most stable polymorph in this dataset: 0.000 eV per formula unit
Volume: 132 Å³/cell
Uncorrected formation energy: 0.91 eV/atom
D(E_F): 4.6 states/eV per cell
SG: P4/mmm, No. 123

```
NbCoSbI2
1.0
-3.0183 -1.3348 4.0244
4.2174 -1.4545 2.6806
0.4091 4.5070 1.8017
Sb I Nb Co
1 2 1 1
Cartesian
0.2046 2.2535 0.9008
2.1087 -0.7272 1.3403
-1.5092 -0.6674 2.0122
0.8041 0.8589 4.2534
0.0000 0.0000 0.0000
```

The following is a PBE calculation of an optimized crystal structure of NbCoSbI2, from the Alexandria database.

Calculated values
Energy above the most stable polymorph in this dataset: 0.246 eV per formula unit
Volume: 168 Å³/cell
Uncorrected formation energy: 0.96 eV/atom
D(E_F): 11.6 states/eV per cell
SG: P4/mmm, No. 123

```
NbCoSbI2
1.0
-3.7137 2.6144 -3.1310
-1.6573 -4.8361 -2.0724
-3.7314 -0.4550 4.0459
Sb Co I Nb
1 1 2 1
Cartesian
-1.8657 -0.2275 2.0230
-4.5512 -1.3384 -0.5787
-1.8569 1.3072 -1.5655
-0.8287 -2.4181 -1.0362
0.0000 0.0000 0.0000
```